Record 1
NiIr2Cl | PBE | optimized geometry

## Properties
The crystal system is monoclinic. The total magnetization is 0.792 μB per cell. The calculation puts the offset from the most stable computed form at 184 kJ/mol of formula units. The symmetry is C2/m.

a = 5.247 Å, b = 5.247 Å, c = 2.817 Å
α = 74.37°, β = 74.37°, γ = 117.95°
Each line ends with the local moment (μB).
Element x y z (fractional)
Cl1 0.000 0.500 0.500  0.05
Ir1 0.000 0.000 0.000  0.10
Ir2 0.500 0.500 0.000  0.10
Ni1 0.500 0.000 0.500  0.53

---

Record 2
NiIr2Cl | PBE | optimized geometry

## Properties
The crystal system is tetragonal. The total magnetization is 0.000 μB per cell. The calculation puts the offset from the most stable computed form at 303 kJ/mol of formula units. The symmetry is P4/mmm.

a = 3.508 Å, b = 4.023 Å, c = 4.023 Å
α = 90.00°, β = 90.00°, γ = 90.00°
Element x y z (fractional)
Cl1 0.500 0.000 0.500
Ir1 0.000 0.000 0.000
Ir2 0.000 0.500 0.500
Ni1 0.500 0.500 0.000

---

Record 3
NiIrCl2 | PBE | optimized geometry

## Properties
The crystal system is orthorhombic. The total magnetization is 1.639 μB per cell. The calculation puts the offset from the most stable computed form at 213 kJ/mol of formula units. The symmetry is Pmmm.

a = 2.913 Å, b = 5.769 Å, c = 3.944 Å
α = 90.00°, β = 90.00°, γ = 90.00°
Each line ends with the local moment (μB).
Element x y z (fractional)
Ni1 0.000 0.500 0.500  0.92
Ir1 0.500 0.000 0.500  0.60
Cl1 0.000 0.000 0.000  0.02
Cl2 0.500 0.500 0.000  0.09

---

Record 4
Ni2IrCl | PBE | optimized geometry

## Properties
The crystal system is cubic. The total magnetization is 2.492 μB per cell. The calculation puts the offset from the most stable computed form at 247 kJ/mol of formula units. The symmetry is Fm-3m.

a = 4.285 Å, b = 4.285 Å, c = 4.285 Å
α = 60.00°, β = 60.00°, γ = 60.00°
Each line ends with the local moment (μB).
Element x y z (fractional)
Ni1 0.250 0.250 0.250  0.75
Ni2 0.750 0.750 0.750  0.75
Ir1 0.500 0.500 0.500  0.94
Cl1 0.000 0.000 0.000  0.10

---

Record 5
NiIrCl2 | PBE | optimized geometry

## Properties
The crystal system is tetragonal. The total magnetization is 1.033 μB per cell. The calculation puts the offset from the most stable computed form at 311 kJ/mol of formula units. The symmetry is P4/mmm.

a = 4.438 Å, b = 4.439 Å, c = 3.052 Å
α = 90.00°, β = 90.00°, γ = 89.99°
Each line ends with the local moment (μB).
Element x y z (fractional)
Ni1 0.000 0.500 0.500  0.80
Ir1 0.500 0.000 0.500  0.15
Cl1 0.000 0.000 0.000  0.05
Cl2 0.500 0.500 0.000  0.05

---

Record 6
NiIr2Cl | PBE | optimized geometry

## Properties
The crystal system is orthorhombic. The total magnetization is 1.215 μB per cell. The calculation puts the offset from the most stable computed form at 176 kJ/mol of formula units. The symmetry is Pmmm.

a = 2.728 Å, b = 4.776 Å, c = 4.487 Å
α = 90.00°, β = 90.00°, γ = 90.00°
Each line ends with the local moment (μB).
Element x y z (fractional)
Cl1 0.000 0.500 0.500  0.07
Ir1 0.000 0.000 0.000  0.28
Ir2 0.500 0.500 0.000  0.14
Ni1 0.500 0.000 0.500  0.71

---

Record 7
NiIrCl2 | PBE | optimized geometry

## Properties
The crystal system is orthorhombic. The total magnetization is 0.859 μB per cell. The calculation puts the offset from the most stable computed form at 124 kJ/mol of formula units. The symmetry is Pmm2.

a = 3.147 Å, b = 3.735 Å, c = 7.057 Å
α = 90.00°, β = 90.00°, γ = 90.00°
Each line ends with the local moment (μB).
Element x y z (fractional)
Ni1 0.500 0.500 0.657  0.35
Ir1 0.000 0.000 0.584  0.40
Cl1 0.000 0.000 0.908  0.04
Cl2 0.500 0.500 0.351  0.03

---

Record 8
NiIrPb2Cl | PBE | optimized geometry

## Properties
The crystal system is tetragonal. The uncorrected energy comes out at -0.157 hartree per atom. The total magnetization is 0.709 μB per cell. The symmetry is P4/mmm.

a = 5.344 Å, b = 4.486 Å, c = 5.344 Å
α = 90.00°, β = 90.00°, γ = 90.00°
Each line ends with the local moment (μB).
Element x y z (fractional)
Pb1 0.000 0.000 0.500  -0.01
Pb2 0.500 0.000 0.000  0.00
Ni1 0.000 0.000 0.000  0.33
Ir1 0.000 0.500 0.000  0.40
Cl1 0.500 0.500 0.500  -0.01

---

Record 9
Pm8NiIr3Cl4 | PBE | optimized geometry

## Properties
The crystal system is trigonal. The uncorrected energy comes out at -0.220 hartree per atom. The total magnetization is 0.000 μB per cell. The symmetry is R-3m.

a = 8.171 Å, b = 8.842 Å, c = 8.170 Å
α = 117.54°, β = 120.00°, γ = 90.00°
Element x y z (fractional)
Pm1 0.233 0.702 0.969
Pm2 0.233 0.702 0.466
Pm3 0.265 0.294 0.529
Pm4 0.737 0.702 0.969
Pm5 0.263 0.298 0.031
Pm6 0.735 0.706 0.471
Pm7 0.767 0.298 0.534
Pm8 0.767 0.298 0.031
Ni1 0.000 0.500 0.000
Ir1 0.500 0.500 0.000
Ir2 0.500 0.500 0.500
Ir3 0.000 0.500 0.500
Cl1 0.500 0.000 0.000
Cl2 0.500 0.000 0.500
Cl3 0.000 0.000 0.000
Cl4 0.000 0.000 0.500

---

Record 10
Pm6NiIr2Cl3 | PBE | optimized geometry

## Properties
The crystal system is monoclinic. The uncorrected energy comes out at -0.217 hartree per atom. The total magnetization is 0.000 μB per cell. The symmetry is C2/m.

a = 4.090 Å, b = 8.834 Å, c = 9.718 Å
α = 109.36°, β = 102.15°, γ = 90.00°
Element x y z (fractional)
Pm1 0.344 0.896 0.689
Pm2 0.677 0.554 0.355
Pm3 0.656 0.104 0.311
Pm4 0.009 0.220 0.017
Pm5 0.991 0.780 0.983
Pm6 0.323 0.446 0.645
Ni1 0.500 0.000 0.000
Ir1 0.836 0.674 0.671
Ir2 0.164 0.326 0.329
Cl1 0.500 0.500 0.000
Cl2 0.834 0.167 0.668
Cl3 0.166 0.833 0.332

---

Record 11
Pm6Ni2IrCl3 | PBE | optimized geometry

## Properties
The crystal system is monoclinic. The uncorrected energy comes out at -0.204 hartree per atom. The total magnetization is 0.000 μB per cell. The symmetry is C2/m.

a = 4.055 Å, b = 8.797 Å, c = 9.661 Å
α = 109.75°, β = 102.11°, γ = 90.00°
Element x y z (fractional)
Pm1 0.342 0.881 0.685
Pm2 0.675 0.560 0.351
Pm3 0.658 0.119 0.315
Pm4 0.012 0.228 0.024
Pm5 0.988 0.772 0.976
Pm6 0.325 0.440 0.649
Ni1 0.830 0.657 0.661
Ni2 0.170 0.343 0.339
Ir1 0.500 0.000 0.000
Cl1 0.500 0.500 0.000
Cl2 0.832 0.169 0.665
Cl3 0.168 0.831 0.335

---

Record 12
Pr8Ni3IrCl4 | PBE | optimized geometry

## Properties
The crystal system is trigonal. The uncorrected energy comes out at -0.201 hartree per atom. The total magnetization is 0.000 μB per cell. The symmetry is R-3m.

a = 8.199 Å, b = 8.906 Å, c = 8.200 Å
α = 117.44°, β = 120.00°, γ = 90.00°
Element x y z (fractional)
Pr1 0.236 0.705 0.969
Pr2 0.236 0.705 0.472
Pr3 0.266 0.299 0.532
Pr4 0.733 0.705 0.969
Pr5 0.267 0.295 0.031
Pr6 0.734 0.701 0.468
Pr7 0.764 0.295 0.528
Pr8 0.764 0.295 0.031
Ni1 0.500 0.500 0.000
Ni2 0.500 0.500 0.500
Ni3 0.000 0.500 0.500
Ir1 0.000 0.500 0.000
Cl1 0.500 0.000 0.000
Cl2 0.500 0.000 0.500
Cl3 0.000 0.000 0.000
Cl4 0.000 0.000 0.500